A plane-wave DFT calculation with PBE was carried out for a relaxed Cd3Ag12Pt5 crystal.

Computed properties:
- Energy of formation from the pure elements: 1124.6 kJ/mol of formula units
- Space group: Ia-3d (230)

Unit cell a=13.561 b=13.561 c=13.561 alpha=109.47 beta=109.47 gamma=109.47
Fractional positions:
Cd  0.750  0.375  0.125
Cd  0.875  0.750  0.125
Cd  0.375  0.750  0.625
Cd  0.250  0.125  0.375
Cd  0.875  0.125  0.250
Cd  0.375  0.625  0.250
Cd  0.625  0.375  0.750
Cd  0.125  0.875  0.750
Cd  0.750  0.875  0.625
Cd  0.625  0.250  0.375
Cd  0.125  0.250  0.875
Cd  0.250  0.625  0.875
Pt  0.125  0.375  0.250
Pt  0.000  0.500  0.000
Pt  0.000  0.000  0.000
Pt  0.375  0.250  0.125
Pt  0.500  0.000  0.500
Pt  0.500  0.500  0.000
Pt  0.125  0.750  0.375
Pt  0.750  0.125  0.875
Pt  0.750  0.625  0.375
Pt  0.375  0.125  0.750
Pt  0.625  0.875  0.250
Pt  0.500  0.500  0.500
Pt  0.500  0.000  0.000
Pt  0.000  0.000  0.500
Pt  0.250  0.375  0.625
Pt  0.250  0.875  0.125
Pt  0.000  0.500  0.500
Pt  0.875  0.250  0.625
Pt  0.625  0.750  0.875
Pt  0.875  0.625  0.750
Ag  0.726  0.141  0.063
Ag  0.337  0.563  0.422
Ag  0.937  0.359  0.274
Ag  0.563  0.226  0.141
Ag  0.585  0.726  0.663
Ag  0.937  0.578  0.163
Ag  0.337  0.774  0.415
Ag  0.078  0.915  0.141
Ag  0.578  0.937  0.663
Ag  0.726  0.585  0.163
Ag  0.774  0.437  0.359
Ag  0.837  0.922  0.063
Ag  0.141  0.726  0.563
Ag  0.359  0.422  0.085
Ag  0.085  0.922  0.359
Ag  0.415  0.141  0.578
Ag  0.085  0.163  0.226
Ag  0.437  0.663  0.078
Ag  0.837  0.915  0.274
Ag  0.141  0.415  0.078
Ag  0.359  0.937  0.774
Ag  0.578  0.641  0.415
Ag  0.922  0.837  0.563
Ag  0.774  0.337  0.915
Ag  0.422  0.359  0.585
Ag  0.078  0.163  0.437
Ag  0.226  0.663  0.085
Ag  0.163  0.085  0.726
Ag  0.641  0.063  0.226
Ag  0.859  0.585  0.922
Ag  0.563  0.337  0.922
Ag  0.585  0.859  0.422
Ag  0.915  0.837  0.774
Ag  0.915  0.078  0.641
Ag  0.859  0.274  0.437
Ag  0.163  0.078  0.937
Ag  0.641  0.578  0.915
Ag  0.422  0.063  0.337
Ag  0.274  0.415  0.837
Ag  0.226  0.563  0.641
Ag  0.922  0.085  0.859
Ag  0.663  0.226  0.585
Ag  0.437  0.774  0.859
Ag  0.063  0.422  0.837
Ag  0.415  0.274  0.337
Ag  0.063  0.641  0.726
Ag  0.663  0.437  0.578
Ag  0.274  0.859  0.937